The following is a DFT calculation (PBE) of a relaxed Li2Br3 crystal.

Output
As for the polymorph energy (0 for the lowest one): 0.003 eV/atom. The calculation puts the uncorrected formation energy at -1.0326 eV per atom.

a b c (Å): 4.0208 4.0208 8.5527
angles (deg): 90.00 90.00 120.00
Space group P-3m1 (No. 164)
Asymmetric unit:
Li 0.3333 0.6667 0.3014 x2
Br 0.0000 0.0000 0.5000 x1
Br 0.3333 0.6667 0.8349 x2